[1]
Below is a crystal of NiPt3 relaxed with PBEsol, with properties calculated at the SCAN level.

Calculated values
The value obtained for the mass density is 19.22 g/cm3. Its total magnetization is 2.13 μB/f.u.

POSCAR file:
```
NiPt3
1.0
2.7294 0.0000 0.0000
0.0000 2.7294 0.0000
0.0000 0.0000 7.4677
Pt Ni
3 1
Cartesian
1.3647 1.3647 1.7177
0.0000 0.0000 3.7339
1.3647 1.3647 5.7500
0.0000 0.0000 0.0000
```


[2]
Below is a crystal of NiPt relaxed with PBEsol, with properties calculated at the SCAN level.

Calculated values
The value obtained for the mass density is 16.45 g/cm3. Its total magnetization is 1.03 μB/f.u.

POSCAR file:
```
NiPt
1.0
-2.1138 -1.4613 -0.7985
1.4377 -0.9504 -2.0666
2.2095 -5.3907 4.0161
Pt Ni
2 2
Cartesian
1.5014 -2.3844 0.3891
0.3701 -4.2121 2.1944
2.6937 -5.2933 2.5562
-0.8222 -1.3033 0.0273
```


[3]
Below is a crystal of Ni4Pt7 relaxed with PBEsol, with properties calculated at the SCAN level.

Calculated values
The value obtained for the mass density is 17.86 g/cm3. Its total magnetization is 6.25 μB/f.u.

POSCAR file:
```
Ni4Pt7
1.0
4.6021 0.0051 -0.0012
-0.7387 4.6016 -0.0016
-0.0252 -0.7845 7.0235
Pt Ni
7 4
Cartesian
2.7205 1.2594 1.9492
1.1014 0.2261 3.7941
1.9403 3.5110 0.6578
1.1176 2.5627 5.0714
1.8978 0.3111 6.3629
2.7368 3.5961 3.2266
-0.3694 2.3008 -0.0008
3.4513 3.7606 5.7422
0.3895 2.4456 2.5549
3.4487 1.3765 4.4658
0.3868 0.0615 1.2785
```


[4]
Below is a crystal of Ni4Pt3 relaxed with PBEsol, with properties calculated at the SCAN level.

Calculated values
The value obtained for the mass density is 15.49 g/cm3. Its total magnetization is 4.54 μB/f.u.

POSCAR file:
```
Ni4Pt3
1.0
4.5169 -0.0017 -0.0020
-0.7397 4.4560 -0.0020
-0.7397 -0.8722 4.3697
Ni Pt
4 3
Cartesian
2.2265 0.3948 1.2440
0.0257 0.7785 2.4605
0.0215 0.0254 0.0309
0.7638 2.3834 0.6301
0.7315 3.1800 3.1607
3.0178 2.8574 1.8346
2.3260 1.1267 3.7361
```


[5]
Below is a crystal of NiPt2 relaxed with PBEsol, with properties calculated at the SCAN level.

Calculated values
The value obtained for the mass density is 18.16 g/cm3. Its total magnetization is 1.62 μB/f.u.

POSCAR file:
```
NiPt2
1.0
-0.7364 4.5772 0.5072
-3.0360 0.0013 -4.4198
-3.7915 -1.2691 5.8567
Pt Ni
8 4
Cartesian
-4.9379 -0.7135 2.4877
-3.5545 2.7868 1.6424
-4.0094 0.5226 0.3018
-2.4395 0.4979 2.4760
-2.6261 4.0230 -0.5435
-5.1244 2.8115 -0.5319
-4.4623 1.5747 3.9697
-3.1017 1.7347 -2.0255
-1.5242 1.6977 0.2547
-3.3754 -0.6778 4.7783
-4.1885 3.9872 -2.8342
-6.0397 1.6118 1.6894
```


[6]
Below is a crystal of Ni3Pt relaxed with PBEsol, with properties calculated at the SCAN level.

Calculated values
The value obtained for the mass density is 13.18 g/cm3. Its total magnetization is 2.67 μB/f.u.

POSCAR file:
```
Ni3Pt
1.0
-0.7970 -2.4061 -0.6013
-0.8872 -0.7565 4.2032
-3.2661 2.7488 -1.0273
Ni Pt
3 1
Cartesian
-2.9260 -0.9960 2.2209
-0.3985 -1.2031 -0.3007
-2.0243 0.5821 0.3537
-0.4436 -0.3783 2.1016
```


Energy relative to the elements, record by record: -0.377, -0.141, -1.335, -0.739, -0.353, -0.487 eV per formula unit